Here is BaCoTc2 after structural relaxation from the Alexandria database. Energies are from GGA-PBE.

CIF file:
```
data_BaCoTc2
_cell_length_a 3.820
_cell_length_b 4.388
_cell_length_c 5.897
_cell_angle_alpha 90.00
_cell_angle_beta 104.43
_cell_angle_gamma 90.00
_space_group_name_H-M_alt 'P 1 2/m 1'
_space_group_IT_number 10
_space_group_name_Hall '-P 2y'
loop_
_atom_site_label
_atom_site_type_symbol
_atom_site_fract_x
_atom_site_fract_y
_atom_site_fract_z
_atom_site_occupancy
Ba1 Ba 0.000 0.000 0.000 1
Co1 Co 0.500 0.000 0.500 1
Tc1 Tc 0.290 0.500 0.617 1
```

Values from the calculation:
- Calculated formation energy: 802 meV per atom
- E above lowest polymorph: 344 meV per atom
- Crystal system: monoclinic